The following is a GGA-PBE calculation of crystalline Mg2Zr at its relaxed geometry, from Alexandria.

Total moment, μB/atom: 0.0000
Density of states at the Fermi level, states/eV per cell: 4.82
Crystal system: monoclinic
Calculated formation energy, kJ/mol of formula units: 1

a b c (Å): 5.744 5.744 11.479
angles (deg): 136.17 136.17 32.76
Fractional coordinates of all 6 atoms:
Mg  0.995  0.995  0.987
Zr  0.117  0.117  0.736
Mg  0.659  0.659  0.320
Mg  0.449  0.449  0.401
Zr  0.328  0.328  0.653
Mg  0.785  0.785  0.069